# 1
The following is a PBE-GGA calculation of crystalline IrRh2Au at its relaxed geometry, from Alexandria.

Summary:
The value obtained for the excess energy over the best structure of this formula in the dataset is 12.7 kJ per mole of atoms. The density of states at the Fermi level comes out at 1.38 states/eV per atom. The theoretical density comes out at 16.3 g/cm³. The calculation puts the formation energy at 0.197 eV/atom. As for the symmetry: C2/m (12).

a = 4.7750 Å, b = 4.7750 Å, c = 4.8380 Å
α = 80.16°, β = 80.16°, γ = 34.05°
With the nearest neighbours (Å) after each atom.
Atoms (fractional coordinates):
Ir  0.0000  0.0000  0.5000  6 Rh 2.70-2.78, 4 Au 2.79, 2 Ir 2.80
Rh  0.2562  0.2562  0.7360  6 Rh 2.70-2.90, 3 Ir 2.70-2.78, 3 Au 2.76-2.83
Rh  0.7438  0.7438  0.2640  6 Rh 2.70-2.90, 3 Ir 2.70-2.78, 3 Au 2.76-2.83
Au  0.5000  0.5000  0.0000  6 Rh 2.76-2.83, 4 Ir 2.79, 2 Au 2.80


# 2
The following is a PBE-GGA calculation of crystalline IrRh2Au at its relaxed geometry, from Alexandria.

Summary:
The value obtained for the excess energy over the best structure of this formula in the dataset is 17.1 kJ per mole of atoms. The density of states at the Fermi level comes out at 1.08 states/eV per atom. The theoretical density comes out at 15.9 g/cm³. The calculation puts the formation energy at 0.242 eV/atom. As for the symmetry: Cmmm (65).

a = 2.7465 Å, b = 2.7465 Å, c = 9.5261 Å
α = 90.00°, β = 90.00°, γ = 120.26°
With the nearest neighbours (Å) after each atom.
Atoms (fractional coordinates):
Ir  0.5000  0.5000  0.0000  4 Rh 2.65, 6 Ir 2.74-2.75
Rh  0.0000  0.0000  0.2384  2 Ir 2.65, 6 Rh 2.74-2.75, 2 Au 2.84
Rh  0.0000  0.0000  0.7616  2 Ir 2.65, 6 Rh 2.74-2.75, 2 Au 2.84
Au  0.5000  0.5000  0.5000  6 Au 2.74-2.75, 4 Rh 2.84


# 3
The following is a PBE-GGA calculation of crystalline Ir2RhAu at its relaxed geometry, from Alexandria.

Summary:
The value obtained for the excess energy over the best structure of this formula in the dataset is 42.2 kJ per mole of atoms. The density of states at the Fermi level comes out at 1.70 states/eV per atom. The theoretical density comes out at 18.3 g/cm³. The calculation puts the formation energy at 0.566 eV/atom. As for the symmetry: Fm-3m (225).

a = 4.4458 Å, b = 4.4458 Å, c = 4.4458 Å
α = 60.00°, β = 60.00°, γ = 60.00°
With the nearest neighbours (Å) after each atom.
Atoms (fractional coordinates):
Rh  0.0000  0.0000  0.0000  8 Ir 2.72
Ir  0.2500  0.2500  0.2500  4 Au 2.72, 4 Rh 2.72
Ir  0.7500  0.7500  0.7500  4 Rh 2.72, 4 Au 2.72
Au  0.5000  0.5000  0.5000  8 Ir 2.72


# 4
The following is a PBE-GGA calculation of crystalline Ir2RhAu at its relaxed geometry, from Alexandria.

Summary:
The value obtained for the excess energy over the best structure of this formula in the dataset is 9.8 kJ per mole of atoms. The density of states at the Fermi level comes out at 1.42 states/eV per atom. The theoretical density comes out at 18.6 g/cm³. The calculation puts the formation energy at 0.231 eV/atom. As for the symmetry: C2/m (12).

a = 4.8155 Å, b = 4.8155 Å, c = 4.8194 Å
α = 80.18°, β = 80.18°, γ = 33.65°
With the nearest neighbours (Å) after each atom.
Atoms (fractional coordinates):
Ir  0.2435  0.2435  0.7617  6 Ir 2.71-2.87, 3 Rh 2.72-2.81, 3 Au 2.76-2.84
Ir  0.7565  0.7565  0.2383  6 Ir 2.71-2.87, 3 Rh 2.72-2.81, 3 Au 2.76-2.84
Rh  0.5000  0.5000  0.0000  6 Ir 2.72-2.81, 4 Au 2.78, 2 Rh 2.79
Au  0.0000  0.0000  0.5000  6 Ir 2.76-2.84, 4 Rh 2.78, 2 Au 2.79


# 5
The following is a PBE-GGA calculation of crystalline IrRh2Au at its relaxed geometry, from Alexandria.

Summary:
The value obtained for the excess energy over the best structure of this formula in the dataset is 29.1 kJ per mole of atoms. The density of states at the Fermi level comes out at 1.51 states/eV per atom. The theoretical density comes out at 16.0 g/cm³. The calculation puts the formation energy at 0.367 eV/atom. As for the symmetry: Pmmm (47).

a = 2.7538 Å, b = 4.7315 Å, c = 4.7362 Å
α = 90.00°, β = 90.00°, γ = 90.00°
With the nearest neighbours (Å) after each atom.
Atoms (fractional coordinates):
Ir  0.0000  0.5000  0.5000  4 Rh 2.74, 4 Au 2.74, 2 Ir 2.75
Rh  0.0000  0.0000  0.0000  4 Au 2.74, 6 Rh 2.74-2.75
Rh  0.5000  0.0000  0.5000  4 Ir 2.74, 6 Rh 2.74-2.75
Au  0.5000  0.5000  0.0000  4 Rh 2.74, 4 Ir 2.74, 2 Au 2.75


# 6
The following is a PBE-GGA calculation of crystalline IrRh2Au at its relaxed geometry, from Alexandria.

Summary:
The value obtained for the excess energy over the best structure of this formula in the dataset is 21.7 kJ per mole of atoms. The density of states at the Fermi level comes out at 1.14 states/eV per atom. The theoretical density comes out at 15.9 g/cm³. The calculation puts the formation energy at 0.290 eV/atom. As for the symmetry: Immm (71).

a = 5.5094 Å, b = 5.5094 Å, c = 5.5094 Å
α = 151.08°, β = 129.24°, γ = 59.48°
With the nearest neighbours (Å) after each atom.
Atoms (fractional coordinates):
Ir  0.5000  0.0000  0.5000  4 Rh 2.64, 4 Au 2.73, 2 Ir 2.75
Rh  0.7353  0.7353  0.0000  2 Ir 2.64, 6 Rh 2.75, 2 Au 2.88
Rh  0.2647  0.2647  0.0000  2 Ir 2.64, 6 Rh 2.75, 2 Au 2.88
Au  0.0000  0.5000  0.5000  4 Ir 2.73, 2 Au 2.75, 4 Rh 2.88


# 7
The following is a PBE-GGA calculation of crystalline IrRh2Au at its relaxed geometry, from Alexandria.

Summary:
The value obtained for the excess energy over the best structure of this formula in the dataset is 9.4 kJ per mole of atoms. The density of states at the Fermi level comes out at 1.42 states/eV per atom. The theoretical density comes out at 16.2 g/cm³. The calculation puts the formation energy at 0.163 eV/atom. As for the symmetry: R3m (160).

a = 9.2353 Å, b = 9.2353 Å, c = 9.2353 Å
α = 17.32°, β = 17.32°, γ = 17.32°
With the nearest neighbours (Å) after each atom.
Atoms (fractional coordinates):
Ir  0.2548  0.2548  0.2548  3 Rh 2.68, 6 Ir 2.78, 3 Au 2.90
Rh  0.9999  0.9999  0.9999  3 Ir 2.68, 9 Rh 2.69-2.78
Rh  0.7458  0.7458  0.7458  9 Rh 2.69-2.78, 3 Au 2.87
Au  0.4995  0.4995  0.4995  6 Au 2.78, 3 Rh 2.87, 3 Ir 2.90


# 8
The following is a PBE-GGA calculation of crystalline IrRh2Au at its relaxed geometry, from Alexandria.

Summary:
The value obtained for the excess energy over the best structure of this formula in the dataset is 22.0 kJ per mole of atoms. The density of states at the Fermi level comes out at 1.55 states/eV per atom. The theoretical density comes out at 15.9 g/cm³. The calculation puts the formation energy at 0.294 eV/atom. As for the symmetry: Cmm2 (35).

a = 2.7446 Å, b = 2.7446 Å, c = 9.5188 Å
α = 90.00°, β = 90.00°, γ = 120.06°
With the nearest neighbours (Å) after each atom.
Atoms (fractional coordinates):
Ir  0.5000  0.5000  0.2377  2 Rh 2.65, 6 Ir 2.74, 2 Au 2.86
Rh  0.0000  0.0000  0.9999  2 Ir 2.65, 8 Rh 2.66-2.74
Rh  0.5000  0.5000  0.7607  8 Rh 2.66-2.74, 2 Au 2.82
Au  0.0000  0.0000  0.5017  6 Au 2.74, 2 Rh 2.82, 2 Ir 2.86


# 9
The following is a PBE-GGA calculation of crystalline Ir2RhAu at its relaxed geometry, from Alexandria.

Summary:
The value obtained for the excess energy over the best structure of this formula in the dataset is 12.9 kJ per mole of atoms. The density of states at the Fermi level comes out at 1.24 states/eV per atom. The theoretical density comes out at 18.7 g/cm³. The calculation puts the formation energy at 0.263 eV/atom. As for the symmetry: I-4m2 (119).

a = 4.8089 Å, b = 4.8089 Å, c = 4.8089 Å
α = 131.68°, β = 131.68°, γ = 70.73°
With the nearest neighbours (Å) after each atom.
Atoms (fractional coordinates):
Ir  0.0000  0.0000  0.0000  4 Au 2.78, 4 Ir 2.78, 4 Rh 2.78
Ir  0.2500  0.7500  0.5000  4 Ir 2.78, 4 Rh 2.78, 4 Au 2.78
Rh  0.5000  0.5000  0.0000  8 Ir 2.78, 4 Au 2.78
Au  0.7500  0.2500  0.5000  4 Rh 2.78, 8 Ir 2.78


# 10
The following is a PBE-GGA calculation of crystalline Ir2Rh2Au at its relaxed geometry, from Alexandria.

Summary:
The value obtained for the excess energy over the best structure of this formula in the dataset is 0.0 kJ per mole of atoms. The density of states at the Fermi level comes out at 1.35 states/eV per atom. The theoretical density comes out at 16.4 g/cm³. The calculation puts the formation energy at 0.289 eV/atom. As for the symmetry: P4/mbm (127).

a = 7.6047 Å, b = 7.6047 Å, c = 2.7488 Å
α = 90.00°, β = 90.00°, γ = 90.00°
With the nearest neighbours (Å) after each atom.
Atoms (fractional coordinates):
Rh  0.1748  0.6748  0.5000  6 Ir 2.59-2.67, 2 Rh 2.75
Rh  0.6748  0.8252  0.5000  6 Ir 2.59-2.67, 2 Rh 2.75
Rh  0.8252  0.3252  0.5000  6 Ir 2.59-2.67, 2 Rh 2.75
Rh  0.3252  0.1748  0.5000  6 Ir 2.59-2.67, 2 Rh 2.75
Ir  0.3789  0.8789  0.0000  6 Rh 2.59-2.67, 3 Ir 2.61-2.75
Ir  0.8789  0.6211  0.0000  6 Rh 2.59-2.67, 3 Ir 2.61-2.75
Ir  0.6211  0.1211  0.0000  6 Rh 2.59-2.67, 3 Ir 2.61-2.75
Ir  0.1211  0.3789  0.0000  6 Rh 2.59-2.67, 3 Ir 2.61-2.75
Au  0.0000  0.0000  0.0000  2 Au 2.75, 4 Ir 3.02
Au  0.5000  0.5000  0.0000  2 Au 2.75, 4 Ir 3.02


# 11
The following is a PBE-GGA calculation of crystalline IrRhAu2S at its relaxed geometry, from Alexandria.

Summary:
Its energy relative to the elements, uncorrected is 4.431 eV/f.u. The density of states at the Fermi level comes out at 1.67 states/eV per atom. The theoretical density comes out at 12.8 g/cm³. As for the symmetry: P4/mmm (123).

a = 4.6468 Å, b = 4.3345 Å, c = 4.6468 Å
α = 90.00°, β = 90.00°, γ = 90.00°
With the nearest neighbours (Å) after each atom.
Atoms (fractional coordinates):
Rh  0.5000  0.5000  0.5000  8 Au 3.18, 4 Ir 3.29
S  0.0000  0.0000  0.0000  2 Ir 2.17, 4 Au 2.32
Ir  0.0000  0.5000  0.0000  2 S 2.17
Au  0.0000  0.0000  0.5000  2 S 2.32
Au  0.5000  0.0000  0.0000  2 S 2.32


# 12
The following is a PBE-GGA calculation of crystalline SnIrRhAu at its relaxed geometry, from Alexandria.

Summary:
The density of states at the Fermi level comes out at 0.55 states/eV per atom. The theoretical density comes out at 15.2 g/cm³. The calculation puts the formation energy at -0.039 eV/atom. As for the symmetry: F-43m (216).

a = 4.5539 Å, b = 4.5539 Å, c = 4.5539 Å
α = 60.00°, β = 60.00°, γ = 60.00°
With the nearest neighbours (Å) after each atom.
Atoms (fractional coordinates):
Rh  0.0000  0.0000  0.0000  4 Sn 2.79, 4 Au 2.79
Ir  0.5000  0.5000  0.5000  4 Sn 2.79, 4 Au 2.79
Au  0.7500  0.7500  0.7500  4 Rh 2.79, 4 Ir 2.79
Sn  0.2500  0.2500  0.2500  4 Ir 2.79, 4 Rh 2.79